Record 1
Entry from Alexandria via LeMat-Bulk: a geometry-optimized CsLa3Bi structure (PBE).

Unit cell a=5.842 b=5.842 c=5.842 alpha=90.00 beta=90.00 gamma=90.00
Atoms (fractional coordinates):
1 Cs 0.000 0.000 0.000
2 Bi 0.500 0.500 0.500
3 La 0.000 0.500 0.000
4 La 0.500 0.000 0.000
5 La 0.000 0.000 0.500

Summary:
ΔE to the lowest computed polymorph in eV/atom: 0.547
SG: Pm-3m, No. 221
Calculated total energy in eV per atom: -3.177
Energy relative to the elements in eV per atom: 0.726
DOS(E_F) in states/eV/atom: 0.9712



Record 2
Entry from Alexandria via LeMat-Bulk: a geometry-optimized CsLa3Bi structure (PBE).

Unit cell a=6.359 b=6.359 c=6.359 alpha=90.00 beta=90.00 gamma=90.00
Atoms (fractional coordinates):
1 Cs 0.500 0.500 0.500
2 La 0.500 0.000 0.000
3 Bi 0.000 0.000 0.000
4 La 0.000 0.500 0.000
5 La 0.000 0.000 0.500

Summary:
ΔE to the lowest computed polymorph in eV/atom: 0.000
SG: Pm-3m, No. 221
Calculated total energy in eV per atom: -3.725
Energy relative to the elements in eV per atom: 0.178
DOS(E_F) in states/eV/atom: 1.9615



Among the records above, which one has the lowest energy relative to the elements? number 2



Which value of calculated total energy does entry 2 give? -3.725 eV per atom



energy relative to the elements of number 2 (CsLa3Bi)? 0.178 eV per atom